# PBE ScPtW, optimized geometry
# DFT total energy in eV for the cell shown: -25.763
# Total magnetization in μB per atom: 0.00
data_ScPtW
_chemical_formula_sum 'Sc1 Pt1 W1'
_cell_length_a 4.6486
_cell_length_b 4.6486
_cell_length_c 2.7979
_cell_angle_alpha 90.00
_cell_angle_beta 90.00
_cell_angle_gamma 120.00
_space_group_name_H-M_alt 'P -6 m 2'
_space_group_IT_number 187
_space_group_name_Hall 'P -6 2'
loop_
_atom_site_label
_atom_site_type_symbol
_atom_site_fract_x
_atom_site_fract_y
_atom_site_fract_z
_atom_site_occupancy
Sc1 Sc 0.0000 0.0000 0.0000 1
Pt1 Pt 0.3333 0.6667 0.5000 1
W1 W 0.6667 0.3333 0.5000 1